# SrMgMnP2O8, relaxed, DFT PBE with a Hubbard U
# N(E_F) = 0.000 states/eV/atom
# VASP energy = -7.248 eV/atom
# Total magnetization = 10.000 Bohr magnetons per cell
# Energy above the most stable polymorph in this dataset = 0 meV/atom
# Volume = 12.659 A^3/atom
# Space group = P-1, No. 2
data_SrMgMnP2O8
_chemical_formula_sum 'Sr2 Mg2 Mn2 P4 O16'
_space_group_name_H-M_alt 'P 1'
_space_group_IT_number 1
_cell_length_a 5.563
_cell_length_b 6.998
_cell_length_c 9.490
_cell_angle_alpha 110.95
_cell_angle_beta 101.41
_cell_angle_gamma 98.04
loop_
_space_group_symop_operation_xyz
'x,y,z'
loop_
_atom_site_label
_atom_site_type_symbol
_atom_site_fract_x
_atom_site_fract_y
_atom_site_fract_z
_atom_site_occupancy
Sr1 Sr 0.249 0.197 0.450 1
Sr2 Sr 0.751 0.803 0.550 1
Mg1 Mg 0.495 0.386 0.157 1
Mg2 Mg 0.505 0.614 0.843 1
Mn1 Mn 0.132 0.836 0.059 1
Mn2 Mn 0.868 0.164 0.941 1
P1 P 0.116 0.580 0.271 1
P2 P 0.338 0.023 0.802 1
P3 P 0.662 0.977 0.198 1
P4 P 0.884 0.420 0.729 1
O1 O 0.113 0.947 0.860 1
O2 O 0.136 0.426 0.108 1
O3 O 0.152 0.473 0.707 1
O4 O 0.176 0.806 0.280 1
O5 O 0.242 0.007 0.635 1
O6 O 0.325 0.544 0.388 1
O7 O 0.464 0.119 0.195 1
O8 O 0.486 0.249 0.925 1
O9 O 0.514 0.751 0.075 1
O10 O 0.536 0.881 0.805 1
O11 O 0.675 0.456 0.612 1
O12 O 0.758 0.993 0.365 1
O13 O 0.824 0.194 0.720 1
O14 O 0.848 0.527 0.293 1
O15 O 0.864 0.574 0.892 1
O16 O 0.887 0.053 0.140 1